1.
K2PrNdSe4 | PBE-GGA | optimized geometry

Properties
The symmetry is P2/m, No. 10. The raw formation energy is -1.75 eV per atom. For the density of states at the Fermi level, the calculation gives 0.000 states/eV per cell.

abc: 4.3661 7.5621 8.1136
angles: 108.10 90.00 90.00
Element x y z (fractional)
1 Nd 0.0000 0.0000 0.0000
2 Se 0.0000 0.2611 0.7880
3 Se 0.0000 0.7389 0.2120
4 Se 0.5000 0.2356 0.2113
5 Se 0.5000 0.7644 0.7887
6 K 0.0000 0.5000 0.5000
7 K 0.5000 0.0000 0.5000
8 Pr 0.5000 0.5000 0.0000

2.
KPrNd4Se8 | PBE-GGA | optimized geometry

Properties
The symmetry is R3m, No. 160. The raw formation energy is -1.75 eV per atom. For the density of states at the Fermi level, the calculation gives 0.000 states/eV per cell.

abc: 8.8412 8.8412 8.8688
angles: 60.10 60.10 60.00
Element x y z (fractional)
1 Nd 0.0042 0.0042 0.5044
2 Nd 0.6252 0.6252 0.1243
3 Nd 0.4872 0.0042 0.5044
4 Nd 0.0042 0.4872 0.5044
5 Se 0.7576 0.7576 0.7272
6 Se 0.7569 0.7569 0.2585
7 Se 0.7569 0.2277 0.2585
8 Se 0.2366 0.2366 0.7332
9 Se 0.2366 0.7936 0.7332
10 Se 0.2277 0.7569 0.2585
11 Se 0.2349 0.2349 0.2952
12 Se 0.7936 0.2366 0.7332
13 Pr 0.0043 0.0043 0.9871
14 K 0.3741 0.3741 0.8778

3.
KPr3Nd2Se6 | PBE-GGA | optimized geometry

Properties
The symmetry is C2/m, No. 12. The raw formation energy is -1.79 eV per atom. For the density of states at the Fermi level, the calculation gives 4.356 states/eV per cell.

abc: 4.2632 8.6711 9.6044
angles: 102.97 102.82 90.00
Element x y z (fractional)
1 Pr 0.5000 0.5000 0.0000
2 Pr 0.1629 0.8240 0.3259
3 Pr 0.8371 0.1760 0.6741
4 Se 0.0031 0.2616 0.0063
5 Se 0.9969 0.7384 0.9937
6 Se 0.6717 0.0866 0.3435
7 Se 0.6659 0.5825 0.3319
8 Se 0.3283 0.9134 0.6565
9 Se 0.3341 0.4175 0.6681
10 K 0.5000 0.0000 0.0000
11 Nd 0.8312 0.6574 0.6624
12 Nd 0.1688 0.3426 0.3376

4.
KPrNd2Se4 | PBE-GGA | optimized geometry

Properties
The symmetry is P2/m, No. 10. The raw formation energy is -1.76 eV per atom. For the density of states at the Fermi level, the calculation gives 2.862 states/eV per cell.

abc: 4.2585 7.5117 7.4978
angles: 71.32 90.00 90.00
Element x y z (fractional)
1 K 0.0000 0.5000 0.5000
2 Se 0.0000 0.2434 0.2472
3 Se 0.5000 0.7649 0.2371
4 Se 0.0000 0.7566 0.7528
5 Se 0.5000 0.2351 0.7629
6 Nd 0.5000 0.0000 0.5000
7 Nd 0.0000 0.0000 0.0000
8 Pr 0.5000 0.5000 0.0000

5.
K3PrNd2Se6 | PBE-GGA | optimized geometry

Properties
The symmetry is C2/m, No. 12. The raw formation energy is -1.75 eV per atom. For the density of states at the Fermi level, the calculation gives 0.000 states/eV per cell.

abc: 7.5525 7.5525 8.1131
angles: 98.93 98.93 120.00
Element x y z (fractional)
1 K 0.8334 0.1666 0.5000
2 K 0.1666 0.8334 0.5000
3 K 0.5000 0.5000 0.5000
4 Nd 0.3333 0.6667 0.0000
5 Nd 0.6667 0.3333 0.0000
6 Se 0.0705 0.4055 0.2115
7 Se 0.9295 0.5945 0.7885
8 Se 0.7355 0.7355 0.2115
9 Se 0.4055 0.0705 0.2115
10 Se 0.5945 0.9295 0.7885
11 Se 0.2645 0.2645 0.7885
12 Pr 0.0000 0.0000 0.0000

6.
K4Pr3NdSe8 | PBE-GGA | optimized geometry

Properties
The symmetry is R-3m, No. 166. The raw formation energy is -1.75 eV per atom. For the density of states at the Fermi level, the calculation gives 0.000 states/eV per cell.

abc: 8.7469 9.2233 8.7470
angles: 118.32 120.00 90.00
Element x y z (fractional)
1 Pr 0.5000 0.5000 0.0000
2 Pr 0.0000 0.5000 0.5000
3 Pr 0.5000 0.5000 0.5000
4 Se 0.7375 0.7124 0.4750
5 Se 0.7635 0.2883 0.0247
6 Se 0.2365 0.7117 0.9753
7 Se 0.7635 0.2883 0.5270
8 Se 0.2625 0.2876 0.5250
9 Se 0.2612 0.2883 0.0247
10 Se 0.2365 0.7117 0.4730
11 Se 0.7388 0.7117 0.9753
12 K 0.0000 0.0000 0.5000
13 K 0.0000 0.0000 0.0000
14 K 0.5000 0.0000 0.0000
15 K 0.5000 0.0000 0.5000
16 Nd 0.0000 0.5000 0.0000

7.
K2PrNdTe4 | PBE-GGA | optimized geometry

Properties
The symmetry is P2/m, No. 10. The raw formation energy is -1.42 eV per atom.

abc: 4.6355 8.0266 8.6810
angles: 107.93 90.00 90.00
Element x y z (fractional)
1 K 0.5000 0.0000 0.5000
2 K 0.0000 0.5000 0.5000
3 Te 0.0000 0.2601 0.7842
4 Te 0.5000 0.2367 0.2150
5 Te 0.5000 0.7633 0.7850
6 Te 0.0000 0.7399 0.2158
7 Pr 0.5000 0.5000 0.0000
8 Nd 0.0000 0.0000 0.0000

8.
KNd2Pt9 | PBE-GGA | optimized geometry

Properties
The symmetry is R-3m, No. 166. For the density of states at the Fermi level, the calculation gives 8.455 states/eV per cell. The value obtained for the formation energy from the elements is -7.9 eV per formula unit.

abc: 5.5377 5.5377 9.3515
angles: 72.78 72.78 60.00
Element x y z (fractional)
1 Pt 0.9198 0.4131 0.2539
2 Pt 0.5869 0.0802 0.7461
3 Pt 0.4131 0.4131 0.2539
4 Pt 0.0802 0.5869 0.7461
5 Pt 0.5869 0.5869 0.7461
6 Pt 0.5000 0.5000 0.5000
7 Pt 0.3318 0.3318 0.0046
8 Pt 0.4131 0.9198 0.2539
9 Pt 0.6682 0.6682 0.9954
10 Nd 0.1373 0.1373 0.5882
11 Nd 0.8627 0.8627 0.4118
12 K 0.0000 0.0000 0.0000

Number 1: ρ 4.43 g/cm3, raw total energy -4.962 eV per atom, total moment 0.0 Bohr magnetons per cell. Number 2: ρ 4.70 g/cm3, raw total energy -5.526 eV per atom, total moment 0.0 Bohr magnetons per cell. Number 3: ρ 6.03 g/cm3, raw total energy -5.613 eV per atom, total moment 0.0 Bohr magnetons per cell. Number 4: ρ 5.73 g/cm3, raw total energy -5.434 eV per atom, total moment 0.0 Bohr magnetons per cell. Number 5: ρ 4.45 g/cm3, raw total energy -4.962 eV per atom, total moment 0.0 Bohr magnetons per cell. Number 6: ρ 4.40 g/cm3, raw total energy -4.962 eV per atom, total moment 0.0 Bohr magnetons per cell. Number 7: ρ 4.72 g/cm3, raw total energy -4.457 eV per atom, total moment 0.0 Bohr magnetons per cell. Number 8: ρ 14.82 g/cm3, raw total energy -6.078 eV per atom, total moment 0.0 Bohr magnetons per cell.